Record 1
DFT (PBE) results for a relaxed structure of AcScGaPd.

Unit cell a=5.153 b=5.153 c=5.153 alpha=60.00 beta=60.00 gamma=60.00
Fractional coordinates of all 4 atoms:
Ac1 0.000 0.000 0.000
Sc1 0.500 0.500 0.500
Ga1 0.250 0.250 0.250
Pd1 0.750 0.750 0.750

energy relative to the elements = -0.49 eV/atom
total magnetization = 0.0 μB per cell
N(E_F) = 0.9638 states/eV per atom

=====

Record 2
DFT (PBE) results for a relaxed structure of CoPtPb2.

Unit cell a=6.679 b=6.679 c=6.679 alpha=152.60 beta=142.28 gamma=47.25
Fractional coordinates of all 4 atoms:
Co1 0.000 0.000 0.000
Pt1 0.826 0.326 0.500
Pb1 0.211 0.711 0.500
Pb2 0.487 0.487 0.000

energy relative to the elements = 0.23 eV/atom
total magnetization = 1.1 μB per cell
N(E_F) = 0.8934 states/eV per atom

=====

Record 3
DFT (PBE) results for a relaxed structure of Hf2Mg2Cu3.

Unit cell a=4.442 b=4.442 c=7.811 alpha=106.44 beta=106.44 gamma=59.93
Fractional coordinates of all 7 atoms:
Hf1 0.125 0.125 0.377
Hf2 0.875 0.875 0.623
Mg1 0.375 0.375 0.125
Mg2 0.625 0.625 0.875
Cu1 0.000 0.000 0.000
Cu2 0.248 0.248 0.743
Cu3 0.752 0.752 0.257

energy relative to the elements = 0.05 eV/atom
total magnetization = 0.0 μB per cell
N(E_F) = 0.6787 states/eV per atom

=====

Record 4
DFT (PBE) results for a relaxed structure of BaInRu2.

Unit cell a=5.912 b=5.912 c=5.912 alpha=139.53 beta=139.53 gamma=58.57
Fractional coordinates of all 4 atoms:
Ba1 0.000 0.000 0.000
In1 0.250 0.750 0.500
Ru1 0.500 0.500 0.000
Ru2 0.750 0.250 0.500

energy relative to the elements = 0.81 eV/atom
total magnetization = 2.2 μB per cell
N(E_F) = 1.3445 states/eV per atom

=====

Record 5
DFT (PBE) results for a relaxed structure of Li2MgTc.

Unit cell a=2.620 b=2.620 c=9.425 alpha=90.00 beta=90.00 gamma=90.00
Fractional coordinates of all 4 atoms:
Li1 0.000 0.000 0.228
Li2 0.000 0.000 0.772
Mg1 0.500 0.500 0.500
Tc1 0.500 0.500 0.000

energy relative to the elements = 0.23 eV/atom
total magnetization = 0.0 μB per cell
N(E_F) = 0.3266 states/eV per atom

=====

Record 6
DFT (PBE) results for a relaxed structure of UAgTe2O8.

Unit cell a=7.218 b=7.218 c=5.334 alpha=110.77 beta=110.77 gamma=50.38
Fractional coordinates of all 12 atoms:
U1 0.000 0.000 0.000
Ag1 0.500 0.500 0.500
Te1 0.301 0.301 0.781
Te2 0.699 0.699 0.219
O1 0.087 0.087 0.802
O2 0.170 0.619 0.732
O3 0.343 0.343 0.161
O4 0.381 0.830 0.268
O5 0.619 0.170 0.732
O6 0.657 0.657 0.839
O7 0.830 0.381 0.268
O8 0.913 0.913 0.198

total magnetization = 0.9 μB per cell
N(E_F) = 0.2028 states/eV per atom
E_form (uncorrected) = -1.506 eV/atom

=====

Record 7
DFT (PBE) results for a relaxed structure of SmErCdNi.

Unit cell a=5.085 b=5.085 c=5.085 alpha=60.00 beta=60.00 gamma=60.00
Fractional coordinates of all 4 atoms:
Sm1 0.000 0.000 0.000
Er1 0.500 0.500 0.500
Cd1 0.750 0.750 0.750
Ni1 0.250 0.250 0.250

energy relative to the elements = -0.24 eV/atom
total magnetization = 0.0 μB per cell
N(E_F) = 0.7325 states/eV per atom

=====

Record 8
DFT (PBE) results for a relaxed structure of Sm2Zn2BiRh5.

Unit cell a=9.806 b=9.806 c=3.745 alpha=90.00 beta=90.00 gamma=90.00
Fractional coordinates of all 20 atoms:
Sm1 0.175 0.325 0.000
Sm2 0.325 0.825 0.000
Sm3 0.675 0.175 0.000
Sm4 0.825 0.675 0.000
Zn1 0.121 0.621 0.000
Zn2 0.379 0.121 0.000
Zn3 0.621 0.879 0.000
Zn4 0.879 0.379 0.000
Bi1 0.000 0.000 0.000
Bi2 0.500 0.500 0.000
Rh1 0.000 0.500 0.500
Rh2 0.069 0.789 0.500
Rh3 0.211 0.069 0.500
Rh4 0.289 0.569 0.500
Rh5 0.431 0.289 0.500
Rh6 0.500 0.000 0.500
Rh7 0.569 0.711 0.500
Rh8 0.711 0.431 0.500
Rh9 0.789 0.931 0.500
Rh10 0.931 0.211 0.500

energy relative to the elements = -0.57 eV/atom
total magnetization = 0.0 μB per cell
N(E_F) = 0.6908 states/eV per atom